No. 1
Crystalline MgPSe2 at its relaxed geometry. Source: Alexandria, functional PBE.

Summary:
**Fermi-level density of states**: 2.6 states/eV/cell
**Volume**: 25.7 Å³/atom
**Magnetic moment**: 0.0 μB/f.u.
**Total energy**: -3.6658 eV/atom
**Energy relative to the elements, uncorrected**: -0.17 eV/atom
**Density**: 3.44 g/cm3
**Energy above the most stable polymorph in this dataset**: 0.97 eV per formula unit
**Space-group type**: Pmmm

a = 3.6076 Å, b = 3.6218 Å, c = 7.8659 Å
α = 90.00°, β = 90.00°, γ = 90.00°
Sites, in units of the cell vectors:
Mg1 0.0000 0.0000 0.0000
P1 0.5000 0.0000 0.5000
Se1 0.0000 0.5000 0.5000
Se2 0.5000 0.5000 0.0000

No. 2
Crystalline BaBeMo3 at its relaxed geometry. Source: Alexandria, functional PBE.

Summary:
**Fermi-level density of states**: 7.9 states/eV/cell
**Volume**: 24.3 Å³/atom
**Magnetic moment**: 2.1 μB/f.u.
**Total energy**: -4.2275 eV/atom
**Density**: 5.93 g/cm3
**Energy above the most stable polymorph in this dataset**: 10.18 eV per formula unit
**Space-group type**: Pm-3m

a = 4.9546 Å, b = 4.9546 Å, c = 4.9546 Å
α = 90.00°, β = 90.00°, γ = 90.00°
Sites, in units of the cell vectors:
Ba1 0.0000 0.0000 0.0000
Be1 0.5000 0.5000 0.5000
Mo1 0.0000 0.0000 0.5000
Mo2 0.0000 0.5000 0.0000
Mo3 0.5000 0.0000 0.0000

No. 3
Crystalline SbH2RuAu at its relaxed geometry. Source: Alexandria, functional PBE.

Summary:
**Fermi-level density of states**: 3.2 states/eV/cell
**Volume**: 15.2 Å³/atom
**Magnetic moment**: 0.4 μB/f.u.
**Total energy**: -4.0887 eV/atom
**Density**: 9.23 g/cm3
**Space-group type**: P4/mmm

a = 3.7754 Å, b = 3.7754 Å, c = 5.3216 Å
α = 90.00°, β = 90.00°, γ = 90.00°
Sites, in units of the cell vectors:
Sb1 0.0000 0.0000 0.0000
H1 0.0000 0.5000 0.5000
H2 0.5000 0.0000 0.5000
Ru1 0.5000 0.5000 0.5000
Au1 0.5000 0.5000 0.0000